Compound: HfZnFe3
Source: Alexandria via LeMat-Bulk
Functional: PBE-GGA
Structure: optimized geometry

Structure (POSCAR):
```
HfZnFe3
1.0
4.569 0.000 0.000
0.000 4.569 0.000
0.000 0.000 4.569
Hf Zn Fe
1 1 3
direct
0.000 0.000 0.000
0.500 0.500 0.500
0.000 0.000 0.500
0.000 0.500 0.000
0.500 0.000 0.000
```

* mass density: 7.16 g/cm3
* relative energy among the computed polymorphs: 0.619 eV per atom
* crystal system: cubic
* E_tot: -5.846 eV per atom
* energy relative to the elements: 1.477 eV per atom

***

Compound: HfZnFe3
Source: Alexandria via LeMat-Bulk
Functional: PBE-GGA
Structure: optimized geometry

Structure (POSCAR):
```
HfZnFe3
1.0
4.376 0.000 0.000
0.000 4.376 0.000
0.000 0.000 4.376
Hf Zn Fe
1 1 3
direct
0.000 0.000 0.000
0.500 0.500 0.500
0.000 0.500 0.500
0.500 0.000 0.500
0.500 0.500 0.000
```

* mass density: 8.15 g/cm3
* relative energy among the computed polymorphs: 0.000 eV per atom
* crystal system: cubic
* E_tot: -6.466 eV per atom
* energy relative to the elements: 0.857 eV per atom

***

Compound: HfZn6Fe6
Source: Alexandria via LeMat-Bulk
Functional: PBE-GGA
Structure: optimized geometry

Structure (POSCAR):
```
HfZn6Fe6
1.0
-2.430 4.265 4.266
2.430 -4.265 4.266
2.430 4.265 -4.266
Hf Zn Fe
1 6 6
direct
0.000 0.000 0.000
0.201 0.500 0.701
0.335 0.335 0.000
0.348 0.000 0.348
0.652 0.000 0.652
0.665 0.665 0.000
0.799 0.500 0.299
0.000 0.000 0.500
0.000 0.500 0.000
0.220 0.720 0.500
0.500 0.000 0.000
0.500 0.500 0.500
0.780 0.280 0.500
```

* mass density: 8.51 g/cm3
* crystal system: orthorhombic
* E_tot: -5.288 eV per atom
* energy relative to the elements: -0.029 eV per atom

***

Compound: Hf6ZnFe5
Source: Alexandria via LeMat-Bulk
Functional: PBE-GGA
Structure: optimized geometry

Structure (POSCAR):
```
Hf6ZnFe5
1.0
-2.235 3.170 6.720
2.235 -3.170 6.720
2.235 3.170 -6.720
Hf Zn Fe
6 1 5
direct
0.077 0.331 0.747
0.242 0.000 0.242
0.416 0.669 0.747
0.584 0.331 0.253
0.758 0.000 0.758
0.923 0.669 0.253
0.500 0.500 0.000
0.000 0.500 0.500
0.167 0.167 0.000
0.334 0.834 0.500
0.666 0.166 0.500
0.833 0.833 0.000
```

* mass density: 12.34 g/cm3
* crystal system: orthorhombic
* E_tot: -8.883 eV per atom
* energy relative to the elements: -0.274 eV per atom

***

Compound: HfZn2Fe
Source: Alexandria via LeMat-Bulk
Functional: PBE-GGA
Structure: optimized geometry

Structure (POSCAR):
```
HfZn2Fe
1.0
-1.827 1.827 9.639
1.827 -1.827 9.639
1.827 1.827 -9.639
Hf Zn Fe
2 4 2
direct
0.000 0.000 0.000
0.750 0.250 0.500
0.153 0.625 0.028
0.375 0.403 0.528
0.597 0.125 0.972
0.875 0.847 0.472
0.250 0.750 0.500
0.500 0.500 0.000
```

* mass density: 9.42 g/cm3
* relative energy among the computed polymorphs: 0.266 eV per atom
* crystal system: tetragonal
* E_tot: -4.991 eV per atom
* energy relative to the elements: 0.250 eV per atom

***

Compound: HfZn2Fe2
Source: Alexandria via LeMat-Bulk
Functional: PBE-GGA
Structure: optimized geometry

Structure (POSCAR):
```
HfZn2Fe2
1.0
-1.809 1.809 5.693
1.809 -1.809 5.693
1.809 1.809 -5.693
Hf Zn Fe
1 2 2
direct
0.000 0.000 0.000
0.395 0.395 0.000
0.605 0.605 0.000
0.250 0.750 0.500
0.750 0.250 0.500
```

* mass density: 9.38 g/cm3
* relative energy among the computed polymorphs: 0.000 eV per atom
* crystal system: tetragonal
* E_tot: -5.839 eV per atom
* energy relative to the elements: 0.046 eV per atom

***

Compound: HfZrFe3
Source: Alexandria via LeMat-Bulk
Functional: PBE-GGA
Structure: optimized geometry

Structure (POSCAR):
```
HfZrFe3
1.0
4.534 0.000 0.000
0.000 4.534 0.000
0.000 0.000 4.534
Hf Zr Fe
1 1 3
direct
0.000 0.000 0.000
0.500 0.500 0.500
0.000 0.000 0.500
0.000 0.500 0.000
0.500 0.000 0.000
```

* mass density: 7.79 g/cm3
* relative energy among the computed polymorphs: 0.000 eV per atom
* crystal system: cubic
* E_tot: -7.683 eV per atom
* energy relative to the elements: 1.095 eV per atom

***

Compound: Hf5ZrFe6
Source: Alexandria via LeMat-Bulk
Functional: PBE-GGA
Structure: optimized geometry

Structure (POSCAR):
```
Hf5ZrFe6
1.0
2.223 -6.667 0.000
2.223 6.667 0.000
0.000 0.000 6.270
Hf Zr Fe
5 1 6
direct
0.000 0.000 0.000
0.333 0.667 0.000
0.333 0.667 0.500
0.667 0.333 0.000
0.667 0.333 0.500
0.000 0.000 0.500
0.167 0.833 0.249
0.167 0.833 0.751
0.500 0.500 0.248
0.500 0.500 0.752
0.833 0.167 0.249
0.833 0.167 0.751
```

* mass density: 11.78 g/cm3
* crystal system: orthorhombic
* E_tot: -9.392 eV per atom
* energy relative to the elements: -0.301 eV per atom

***

Compound: Hf2ZrFe9
Source: Alexandria via LeMat-Bulk
Functional: PBE-GGA
Structure: optimized geometry

Structure (POSCAR):
```
Hf2ZrFe9
1.0
2.450 1.414 7.945
-2.450 1.414 7.945
0.000 -2.829 7.945
Hf Zr Fe
2 1 9
direct
0.142 0.142 0.142
0.858 0.858 0.858
0.000 0.000 0.000
0.081 0.586 0.586
0.333 0.333 0.333
0.414 0.414 0.919
0.414 0.919 0.414
0.500 0.500 0.500
0.586 0.081 0.586
0.586 0.586 0.081
0.667 0.667 0.667
0.919 0.414 0.414
```

* mass density: 9.56 g/cm3
* crystal system: trigonal
* E_tot: -8.957 eV per atom
* energy relative to the elements: -0.239 eV per atom

***

Compound: Hf4ZrFe5
Source: Alexandria via LeMat-Bulk
Functional: PBE-GGA
Structure: optimized geometry

Structure (POSCAR):
```
Hf4ZrFe5
1.0
3.147 0.000 0.000
0.000 3.147 0.000
0.000 0.000 15.673
Hf Zr Fe
4 1 5
direct
0.000 0.000 0.100
0.000 0.000 0.299
0.000 0.000 0.701
0.000 0.000 0.900
0.000 0.000 0.500
0.500 0.500 0.000
0.500 0.500 0.199
0.500 0.500 0.398
0.500 0.500 0.602
0.500 0.500 0.801
```

* mass density: 11.60 g/cm3
* crystal system: tetragonal
* E_tot: -9.361 eV per atom
* energy relative to the elements: -0.294 eV per atom

***

Compound: Hf3ZrFe
Source: Alexandria via LeMat-Bulk
Functional: PBE-GGA
Structure: optimized geometry

Structure (POSCAR):
```
Hf3ZrFe
1.0
4.794 0.000 0.000
0.000 4.794 0.000
0.000 0.000 4.794
Hf Zr Fe
3 1 1
direct
0.000 0.000 0.500
0.000 0.500 0.000
0.500 0.000 0.000
0.500 0.500 0.500
0.000 0.000 0.000
```

* mass density: 10.29 g/cm3
* relative energy among the computed polymorphs: 0.138 eV per atom
* crystal system: cubic
* E_tot: -9.138 eV per atom
* energy relative to the elements: 0.236 eV per atom

***

Compound: HfZr2Fe3
Source: Alexandria via LeMat-Bulk
Functional: PBE-GGA
Structure: optimized geometry

Structure (POSCAR):
```
HfZr2Fe3
1.0
3.160 0.000 0.000
0.000 3.160 0.000
0.000 0.000 9.489
Hf Zr Fe
1 2 3
direct
0.000 0.000 0.000
0.000 0.000 0.333
0.000 0.000 0.667
0.500 0.500 0.164
0.500 0.500 0.500
0.500 0.500 0.836
```

* mass density: 9.26 g/cm3
* crystal system: tetragonal
* E_tot: -8.967 eV per atom
* energy relative to the elements: -0.228 eV per atom

***

Compound: Hf3Zr4Fe2
Source: Alexandria via LeMat-Bulk
Functional: PBE-GGA
Structure: optimized geometry

Structure (POSCAR):
```
Hf3Zr4Fe2
1.0
5.100 0.000 0.000
-1.514 5.249 0.000
-0.991 -1.245 6.713
Hf Zr Fe
3 4 2
direct
0.000 0.000 0.000
0.403 0.034 0.694
0.597 0.966 0.306
0.207 0.401 0.382
0.269 0.564 0.918
0.731 0.436 0.082
0.793 0.599 0.618
0.082 0.849 0.342
0.918 0.151 0.658
```

* mass density: 9.35 g/cm3
* crystal system: triclinic
* E_tot: -9.065 eV per atom
* energy relative to the elements: -0.067 eV per atom

***

Compound: Hf3Zr2Fe2
Source: Alexandria via LeMat-Bulk
Functional: PBE-GGA
Structure: optimized geometry

Structure (POSCAR):
```
Hf3Zr2Fe2
1.0
5.483 -1.633 0.000
5.483 1.633 0.000
-3.460 0.000 7.484
Hf Zr Fe
3 2 2
direct
0.000 0.000 0.000
0.117 0.117 0.435
0.883 0.883 0.565
0.339 0.339 0.183
0.661 0.661 0.817
0.325 0.325 0.763
0.675 0.675 0.237
```

* mass density: 10.28 g/cm3
* crystal system: monoclinic
* E_tot: -9.295 eV per atom
* energy relative to the elements: -0.169 eV per atom

***

Compound: Hf2ZrFe3
Source: Alexandria via LeMat-Bulk
Functional: PBE-GGA
Structure: optimized geometry

Structure (POSCAR):
```
Hf2ZrFe3
1.0
3.145 0.000 0.000
0.000 3.145 0.000
0.000 0.000 9.456
Hf Zr Fe
2 1 3
direct
0.000 0.000 0.166
0.000 0.000 0.834
0.000 0.000 0.500
0.500 0.500 0.000
0.500 0.500 0.330
0.500 0.500 0.670
```

* mass density: 10.93 g/cm3
* crystal system: tetragonal
* E_tot: -9.249 eV per atom
* energy relative to the elements: -0.275 eV per atom

***

Compound: Hf6Zr2Fe
Source: Alexandria via LeMat-Bulk
Functional: PBE-GGA
Structure: optimized geometry

Structure (POSCAR):
```
Hf6Zr2Fe
1.0
4.153 -7.705 0.000
4.153 7.705 0.000
0.000 0.000 3.083
Hf Zr Fe
6 2 1
direct
0.010 0.337 0.000
0.281 0.281 0.500
0.337 0.010 0.000
0.663 0.990 0.000
0.719 0.719 0.500
0.990 0.663 0.000
0.328 0.672 0.500
0.672 0.328 0.500
0.000 0.000 0.000
```

* mass density: 11.02 g/cm3
* relative energy among the computed polymorphs: 0.229 eV per atom
* crystal system: orthorhombic
* E_tot: -9.269 eV per atom
* energy relative to the elements: 0.207 eV per atom

***

Compound: Hf3Zr2Fe
Source: Alexandria via LeMat-Bulk
Functional: PBE-GGA
Structure: optimized geometry

Structure (POSCAR):
```
Hf3Zr2Fe
1.0
-1.522 2.528 8.420
1.522 -2.528 8.420
1.522 2.528 -8.420
Hf Zr Fe
3 2 1
direct
0.000 0.000 0.000
0.383 0.383 0.000
0.617 0.617 0.000
0.215 0.715 0.500
0.785 0.285 0.500
0.500 0.000 0.500
```

* mass density: 9.91 g/cm3
* crystal system: orthorhombic
* E_tot: -9.037 eV per atom
* energy relative to the elements: 0.200 eV per atom

***

Compound: HfZr2Fe
Source: Alexandria via LeMat-Bulk
Functional: PBE-GGA
Structure: optimized geometry

Structure (POSCAR):
```
HfZr2Fe
1.0
3.243 0.000 0.000
0.000 3.243 0.000
0.000 0.000 7.384
Hf Zr Fe
1 2 1
direct
0.000 0.000 0.000
0.500 0.500 0.289
0.500 0.500 0.711
0.000 0.000 0.500
```

* mass density: 8.91 g/cm3
* crystal system: tetragonal
* E_tot: -8.925 eV per atom
* energy relative to the elements: -0.047 eV per atom

***

Compound: Hf3ZrFe
Source: Alexandria via LeMat-Bulk
Functional: PBE-GGA
Structure: optimized geometry

Structure (POSCAR):
```
Hf3ZrFe
1.0
3.033 1.751 6.623
-3.033 1.751 6.623
0.000 -3.502 6.623
Hf Zr Fe
6 2 2
direct
0.238 0.733 0.733
0.267 0.267 0.762
0.267 0.762 0.267
0.733 0.238 0.733
0.733 0.733 0.238
0.762 0.267 0.267
0.307 0.307 0.307
0.693 0.693 0.693
0.191 0.191 0.191
0.809 0.809 0.809
```

* mass density: 10.74 g/cm3
* relative energy among the computed polymorphs: 0.100 eV per atom
* crystal system: trigonal
* E_tot: -9.177 eV per atom
* energy relative to the elements: 0.198 eV per atom

***

Compound: Hf6ZrFe2
Source: Alexandria via LeMat-Bulk
Functional: PBE-GGA
Structure: optimized geometry

Structure (POSCAR):
```
Hf6ZrFe2
1.0
7.277 -1.622 0.000
7.277 1.622 0.000
-3.543 0.000 7.598
Hf Zr Fe
6 1 2
direct
0.089 0.089 0.178
0.322 0.322 0.463
0.364 0.364 0.120
0.636 0.636 0.880
0.678 0.678 0.537
0.911 0.911 0.822
0.000 0.000 0.500
0.257 0.257 0.791
0.743 0.743 0.209
```

* mass density: 11.79 g/cm3
* crystal system: monoclinic
* E_tot: -9.501 eV per atom
* energy relative to the elements: -0.035 eV per atom